(1)
DySc5Ru6: relaxed, PBE-GGA.

Unit cell a=4.587 b=6.504 c=7.926 alpha=114.22 beta=106.82 gamma=90.00
Fractional positions:
Sc 0.333 0.333 0.667
Sc 0.000 0.500 0.000
Sc 0.330 0.830 0.660
Dy 0.000 0.000 0.000
Ru 0.500 0.744 0.000
Sc 0.667 0.667 0.333
Ru 0.500 0.256 0.000
Ru 0.831 0.578 0.662
Ru 0.831 0.084 0.662
Ru 0.169 0.916 0.338
Sc 0.670 0.170 0.340
Ru 0.169 0.422 0.338

## Properties
As for the density of states at the Fermi level: 1.10 states/eV/atom. The energy of formation comes out at -491 meV/atom. For the density, the calculation gives 8.07 g/cm3. The total moment is 0.000 μB per atom. For the final energy, the calculation gives -8.1501 eV per atom.

---

(2)
Dy3ScRu3: relaxed, PBE-GGA.

Unit cell a=5.732 b=5.817 c=5.732 alpha=109.77 beta=109.17 gamma=109.77
Fractional positions:
Dy 0.414 0.003 0.000
Ru 0.508 0.009 0.508
Ru 0.000 0.501 0.492
Dy 0.000 0.003 0.414
Dy 0.586 0.590 0.586
Ru 0.492 0.501 0.000
Sc 0.000 0.417 0.000

## Properties
As for the density of states at the Fermi level: 0.47 states/eV/atom. The energy of formation comes out at -385 meV/atom. For the density, the calculation gives 9.47 g/cm3. The total moment is 0.000 μB per atom. For the final energy, the calculation gives -7.2370 eV per atom.

---

(3)
Dy2ScRu: relaxed, PBE-GGA.

Unit cell a=3.422 b=3.422 c=8.369 alpha=90.00 beta=90.00 gamma=90.00
Fractional positions:
Sc 0.500 0.500 0.500
Dy 0.000 0.000 0.198
Dy 0.000 0.000 0.802
Ru 0.500 0.500 0.000

## Properties
As for the density of states at the Fermi level: 0.99 states/eV/atom. The offset from the most stable computed form is 0.66 eV per formula unit. The energy of formation comes out at -171 meV/atom. For the density, the calculation gives 7.98 g/cm3. The total moment is 0.273 μB per atom. For the final energy, the calculation gives -6.3744 eV per atom.

---

(4)
DyScRu: relaxed, PBE-GGA.

Unit cell a=4.635 b=4.635 c=4.635 alpha=60.00 beta=60.00 gamma=60.00
Fractional positions:
Dy 0.500 0.500 0.500
Ru 0.250 0.250 0.250
Sc 0.000 0.000 0.000

## Properties
As for the density of states at the Fermi level: 0.39 states/eV/atom. The offset from the most stable computed form is 0.42 eV per formula unit. The energy of formation comes out at -293 meV/atom. For the density, the calculation gives 7.28 g/cm3. The total moment is 0.000 μB per atom. For the final energy, the calculation gives -7.0300 eV per atom.